Entry 1:
Here is a relaxed Ac2ErAsO6 crystal from the Alexandria database. Energies are from PBE-GGA.

a = 6.0457 Å, b = 6.0022 Å, c = 6.0465 Å
α = 59.97°, β = 59.07°, γ = 89.41°
Last column: nearest neighbours and their distance in Å.
Sites, in units of the cell vectors:
1 O 0.6823 0.1881 0.9986  1 As 2.16, 1 Er 2.22
2 O 0.8125 0.8123 0.5059  1 As 2.16, 1 Er 2.22
3 O 0.3177 0.8119 0.0014  1 As 2.16, 1 Er 2.22
4 Ac 0.2486 0.7687 0.4805  5 O 2.47-2.58
5 O 0.2517 0.3624 0.8904  1 As 2.23, 1 Er 2.25, 1 Ac 2.47
6 As 0.5000 0.5000 0.0000  6 O 2.16-2.23
7 O 0.7483 0.6376 0.1096  1 As 2.23, 1 Er 2.25, 1 Ac 2.47
8 Er 0.0000 0.0000 0.0000  6 O 2.22-2.25
9 Ac 0.7514 0.2313 0.5194  5 O 2.47-2.58
10 O 0.1875 0.1877 0.4941  1 As 2.16, 1 Er 2.22

Formation energy without anion corrections: -2.78 eV per atom
VASP energy: -74.930 eV per cell
SG: C2/m (12)


Entry 2:
Here is a relaxed Ac2ErAs3Pd4 crystal from the Alexandria database. Energies are from PBE-GGA.

a = 4.3863 Å, b = 4.3863 Å, c = 11.4609 Å
α = 90.00°, β = 90.00°, γ = 90.00°
Last column: nearest neighbours and their distance in Å.
Sites, in units of the cell vectors:
1 Pd 0.0000 0.0000 0.0000  4 As 2.63
2 As 0.0000 0.0000 0.5000  4 Pd 2.79, 4 Er 3.10
3 As 0.0000 0.5000 0.1269  5 Pd 2.55-2.63
4 As 0.5000 0.0000 0.8731  5 Pd 2.55-2.63
5 Pd 0.5000 0.5000 0.0000  4 As 2.63
6 Pd 0.0000 0.5000 0.3490  3 As 2.55-2.79, 2 Er 2.79
7 Ac 0.0000 0.5000 0.7817  4 As 3.27, 8 Pd 3.33-3.44
8 Ac 0.5000 0.0000 0.2183  4 As 3.27, 8 Pd 3.33-3.44
9 Er 0.5000 0.5000 0.5000  4 Pd 2.79, 4 As 3.10
10 Pd 0.5000 0.0000 0.6510  3 As 2.55-2.79, 2 Er 2.79

VASP energy: -57.170 eV per cell
SG: P-4m2 (115)
Energy of formation from the pure elements: -967 meV/atom